(1)
DFT (SCAN) results for a PBEsol-optimized structure of TaNb3Sb.

Computed properties:
As for the total magnetization: 0.0 μB/f.u. The calculation puts the uncorrected formation energy at 1162 meV per atom. As for the crystal system: cubic. The density of states at the Fermi level is 0.594 states/eV/atom.

a = 4.8553 Å, b = 4.8553 Å, c = 4.8553 Å
α = 90.00°, β = 90.00°, γ = 90.00°
Space group Pm-3m (No. 221)
Symmetry-distinct sites (fractional):
Ta: 0.0000 0.0000 0.0000 (multiplicity 1)
Nb: 0.0000 0.0000 0.5000 (multiplicity 3)
Sb: 0.5000 0.5000 0.5000 (multiplicity 1)



(2)
DFT (SCAN) results for a PBEsol-optimized structure of Nb3Sb2Te5.

Computed properties:
As for the total magnetization: 0.0 μB/f.u. The calculation puts the uncorrected formation energy at -448 meV per atom. As for the crystal system: cubic.

a = 9.7793 Å, b = 9.7793 Å, c = 9.7793 Å
α = 90.00°, β = 90.00°, γ = 90.00°
Space group I-43m (No. 217)
Symmetry-distinct sites (fractional):
Nb: 0.0000 0.0000 0.3428 (multiplicity 12)
Sb: 0.1665 0.1665 0.8335 (multiplicity 8)
Te: 0.0000 0.2500 0.5000 (multiplicity 12)
Te: 0.1626 0.1626 0.1626 (multiplicity 8)